Entry 1:
The following is a SCAN calculation of a PBEsol-optimized structure of Zr2TePb, from Alexandria.

Cell lengths 4.2675, 4.2675, 10.0584 Å; angles 90.00, 90.00, 90.00 degrees
Closest atoms and distances in Å follow each position.
Space group I-4m2 (No. 119)
Asymmetric unit:
Zr 0.0000 0.0000 0.0000  4 Te 3.02, 4 Zr 3.30, 4 Pb 3.30
Zr 0.0000 0.5000 0.2500  4 Pb 3.02, 4 Zr 3.30, 4 Te 3.30
Te 0.0000 0.0000 0.5000  8 Zr 3.02-3.30, 4 Pb 3.30
Pb 0.0000 0.5000 0.7500  8 Zr 3.02-3.30, 4 Te 3.30

* D(E_F): 6.16 states/eV per cell



Entry 2:
The following is a SCAN calculation of a PBEsol-optimized structure of Ca2MgCl, from Alexandria.

Cell lengths 8.0209, 8.0209, 8.0209 Å; angles 90.00, 90.00, 90.00 degrees
Closest atoms and distances in Å follow each position.
Space group F-43m (No. 216)
Asymmetric unit:
Ca 0.0000 0.0000 0.0000  4 Cl 3.47, 4 Ca 3.47
Ca 0.2500 0.2500 0.2500  4 Mg 3.47, 4 Ca 3.47
Mg 0.0000 0.0000 0.5000  4 Cl 3.47, 4 Ca 3.47
Cl 0.2500 0.2500 0.7500  4 Mg 3.47, 4 Ca 3.47

* D(E_F): 13.60 states/eV per cell



no.,formation energy (no corrections) (meV/atom)
1,-292
2,-104